11
Lattice="-6.1324 4.0268 1.7481 -5.9663 -0.6703 -3.1175 -6.9103 -5.5210 4.7449" Properties=species:S:1:pos:R:3 comment="GGA-PBE Nd2Sm4Y5, relaxed" relative_energy_mev_per_atom=0 magnetic_moment_mub_per_atom=0.0000 space_group=C2/m e_form_ev_per_atom=0.1286 pbc="T T T"
Nd -11.9166 -4.7991 1.7881
Nd -7.0924 2.6346 1.5875
Sm -10.5525 -2.0434 0.2252
Sm -8.4565 -0.1212 3.1503
Sm -14.8032 -2.6211 2.9127
Sm -4.2057 0.4565 0.4629
Y -8.8150 -3.6830 2.9728
Y -10.1940 1.5184 0.4027
Y -6.4383 -3.0957 0.8137
Y -11.5006 -1.9194 3.7384
Y -7.5083 -0.2451 -0.3628